[1]
This record from Alexandria describes crystalline KAlPt2 at its relaxed geometry. The functional is PBE.

a = 2.8864 Å, b = 4.2578 Å, c = 7.1410 Å
α = 90.00°, β = 90.14°, γ = 90.00°
With the nearest neighbours (Å) after each atom.
Space group Pm (No. 6)
One atom of each set of equivalent atoms:
K: 0.0000 0.0000 0.0000 (multiplicity 1)  2 K 2.89
Al: 0.0042 0.5000 0.5768 (multiplicity 1)  6 Pt 2.51-2.57
Pt: 0.5023 0.5000 0.2884 (multiplicity 1)  2 Al 2.51
Pt: 0.5041 0.0000 0.5635 (multiplicity 1)  4 Al 2.57

Values from the calculation:
Volume ... 88 Å³ per cell
Total DFT energy (no corrections) ... -18.20 eV per cell
Magnetization ... 0.0 μB/f.u.


[2]
This record from Alexandria describes crystalline KAlPt2 at its relaxed geometry. The functional is PBE.

a = 3.0412 Å, b = 3.0412 Å, c = 27.9841 Å
α = 90.00°, β = 90.00°, γ = 120.00°
With the nearest neighbours (Å) after each atom.
Space group R-3m (No. 166, hexagonal axes)
One atom of each set of equivalent atoms:
K: 0.0000 0.0000 0.0000 (multiplicity 3)  6 K 3.04, 6 Pt 3.30
Al: 0.0000 0.0000 0.5000 (multiplicity 3)  6 Pt 2.56
Pt: 0.0000 0.0000 0.2334 (multiplicity 6)  3 Al 2.56

Values from the calculation:
Volume ... 224 Å³ per cell
Total DFT energy (no corrections) ... -53.85 eV per cell
Magnetization ... 0.0 μB/f.u.


[3]
This record from Alexandria describes crystalline KAlPt2 at its relaxed geometry. The functional is PBE.

a = 2.9187 Å, b = 2.9187 Å, c = 30.4356 Å
α = 90.00°, β = 90.00°, γ = 120.00°
With the nearest neighbours (Å) after each atom.
Space group R3m (No. 160, hexagonal axes)
One atom of each set of equivalent atoms:
K: 0.0000 0.0000 0.0000 (multiplicity 3)  6 K 2.92, 3 Pt 3.15
Al: 0.0000 0.0000 0.2295 (multiplicity 3)  3 Pt 2.54
Pt: 0.0000 0.0000 0.5004 (multiplicity 3)  3 Al 2.54
Pt: 0.0000 0.0000 0.7542 (multiplicity 3)  9 Pt 2.92-2.95, 3 K 3.15

Values from the calculation:
Volume ... 225 Å³ per cell
Total DFT energy (no corrections) ... -50.76 eV per cell
Magnetization ... 0.0 μB/f.u.


[4]
This record from Alexandria describes crystalline KAlPt2 at its relaxed geometry. The functional is PBE.

a = 4.4194 Å, b = 4.4194 Å, c = 3.7451 Å
α = 90.00°, β = 90.00°, γ = 90.00°
With the nearest neighbours (Å) after each atom.
Space group P4/mmm (No. 123)
One atom of each set of equivalent atoms:
K: 0.0000 0.0000 0.0000 (multiplicity 1)  8 Pt 2.90, 4 Al 3.12
Al: 0.5000 0.5000 0.0000 (multiplicity 1)  8 Pt 2.90, 4 K 3.12
Pt: 0.0000 0.5000 0.5000 (multiplicity 2)  4 K 2.90, 4 Al 2.90, 4 Pt 3.12

Values from the calculation:
Volume ... 73 Å³ per cell
Total DFT energy (no corrections) ... -16.52 eV per cell
Magnetization ... 0.0 μB/f.u.


[5]
This record from Alexandria describes crystalline K2AlPt2 at its relaxed geometry. The functional is PBE.

a = 6.4754 Å, b = 6.4754 Å, c = 5.6486 Å
α = 90.00°, β = 90.00°, γ = 90.00°
With the nearest neighbours (Å) after each atom.
Space group P4/mbm (No. 127)
One atom of each set of equivalent atoms:
K: 0.1746 0.3254 0.0000 (multiplicity 4)  5 K 3.20-3.38, 6 Pt 3.28-3.50
Al: 0.0000 0.0000 0.5000 (multiplicity 2)  4 Pt 2.49
Pt: 0.1427 0.6427 0.5000 (multiplicity 4)  2 Al 2.49, 1 Pt 2.61

Values from the calculation:
Volume ... 237 Å³ per cell
Total DFT energy (no corrections) ... -39.03 eV per cell
Magnetization ... 0.0 μB/f.u.


[6]
This record from Alexandria describes crystalline KAlPt2 at its relaxed geometry. The functional is PBE.

a = 7.3835 Å, b = 2.8960 Å, c = 7.9016 Å
α = 90.00°, β = 96.58°, γ = 90.00°
With the nearest neighbours (Å) after each atom.
Space group C2/m (No. 12)
One atom of each set of equivalent atoms:
K: 0.0000 0.0000 0.0000 (multiplicity 2)  2 K 2.90
Al: 0.0000 0.5000 0.5000 (multiplicity 2)  6 Pt 2.51-2.53
Pt: 0.2309 0.0000 0.6713 (multiplicity 4)  3 Al 2.51-2.53

Values from the calculation:
Volume ... 168 Å³ per cell
Total DFT energy (no corrections) ... -36.90 eV per cell
Magnetization ... 0.0 μB/f.u.